## w
Entry from Alexandria: a relaxed TlInHg4 crystal (PBE).

The structure in CIF format:
```
data_TlInHg4
_space_group_name_H-M_alt 'P 1'
_space_group_IT_number 1
_cell_length_a 6.2083
_cell_length_b 6.2083
_cell_length_c 6.2083
_cell_angle_alpha 60.00
_cell_angle_beta 60.00
_cell_angle_gamma 60.00
loop_
_space_group_symop_operation_xyz
'x,y,z'
loop_
_atom_site_label
_atom_site_fract_x
_atom_site_fract_y
_atom_site_fract_z
Hg1 0.6250 0.6250 0.1251
Hg2 0.6250 0.6250 0.6250
Hg3 0.6250 0.1251 0.6250
Hg4 0.1251 0.6250 0.6250
In1 0.2500 0.2500 0.2500
Tl1 0.0000 0.0000 0.0000
```

The density comes out at 11007 kg/m3. The value obtained for the density of states at the Fermi level is 0.6936 states/eV/atom. The total magnetization comes out at 0.000 μB/f.u.



## x
Entry from Alexandria: a relaxed TlInHg4 crystal (PBE).

The structure in CIF format:
```
data_TlInHg4
_space_group_name_H-M_alt 'P 1'
_space_group_IT_number 1
_cell_length_a 6.0699
_cell_length_b 3.5343
_cell_length_c 7.7672
_cell_angle_alpha 89.76
_cell_angle_beta 90.61
_cell_angle_gamma 89.80
loop_
_space_group_symop_operation_xyz
'x,y,z'
loop_
_atom_site_label
_atom_site_fract_x
_atom_site_fract_y
_atom_site_fract_z
Hg1 0.1673 0.9998 0.1555
Hg2 0.3437 0.4997 0.8347
Hg3 0.8327 0.0002 0.8445
Hg4 0.6563 0.5003 0.1653
Tl1 0.0000 0.5000 0.5000
In1 0.5000 0.0000 0.5000
```

The density comes out at 11178 kg/m3. The value obtained for the density of states at the Fermi level is 0.2033 states/eV/atom. The total magnetization comes out at 0.000 μB/f.u.



## y
Entry from Alexandria: a relaxed TlInHg4 crystal (PBE).

The structure in CIF format:
```
data_TlInHg4
_space_group_name_H-M_alt 'P 1'
_space_group_IT_number 1
_cell_length_a 5.3719
_cell_length_b 8.8315
_cell_length_c 7.9863
_cell_angle_alpha 90.00
_cell_angle_beta 109.65
_cell_angle_gamma 90.00
loop_
_space_group_symop_operation_xyz
'x,y,z'
loop_
_atom_site_label
_atom_site_fract_x
_atom_site_fract_y
_atom_site_fract_z
Hg1 0.7843 0.5780 0.5685
Hg2 0.5747 0.7500 0.1493
Hg3 0.0000 0.0000 0.0000
Hg4 0.7843 0.9220 0.5685
Hg5 0.4253 0.2500 0.8507
Hg6 0.2157 0.4220 0.4315
Hg7 0.0000 0.5000 0.0000
Hg8 0.2157 0.0780 0.4315
In1 0.1507 0.7500 0.3013
In2 0.8493 0.2500 0.6987
Tl1 0.3730 0.7500 0.7461
Tl2 0.6270 0.2500 0.2539
```

The density comes out at 10439 kg/m3. The value obtained for the density of states at the Fermi level is 0.2711 states/eV/atom. The total magnetization comes out at 0.000 μB/f.u.



Which of them is most stable, and which least? Most stable: x; least stable: w.



## w
Entry from Alexandria: a relaxed Tl2InHg2 crystal (PBE).

The structure in CIF format:
```
data_Tl2InHg2
_space_group_name_H-M_alt 'P 1'
_space_group_IT_number 1
_cell_length_a 4.6419
_cell_length_b 6.3842
_cell_length_c 10.0873
_cell_angle_alpha 90.00
_cell_angle_beta 103.30
_cell_angle_gamma 90.00
loop_
_space_group_symop_operation_xyz
'x,y,z'
loop_
_atom_site_label
_atom_site_fract_x
_atom_site_fract_y
_atom_site_fract_z
Tl1 0.9941 0.3130 0.9883
Tl2 0.7910 0.3506 0.5820
Tl3 0.2090 0.8506 0.4180
Tl4 0.0059 0.8130 0.0117
Hg1 0.6021 0.0591 0.2043
Hg2 0.1788 0.3484 0.3575
Hg3 0.3979 0.5591 0.7957
Hg4 0.8212 0.8484 0.6425
In1 0.6010 0.5633 0.2020
In2 0.3990 0.0633 0.7980
```

The density comes out at 10557 kg/m3. The value obtained for the density of states at the Fermi level is 0.5029 states/eV/atom. The total magnetization comes out at 0.000 μB/f.u.



## x
Entry from Alexandria: a relaxed Tl2InHg2 crystal (PBE).

The structure in CIF format:
```
data_Tl2InHg2
_space_group_name_H-M_alt 'P 1'
_space_group_IT_number 1
_cell_length_a 4.5733
_cell_length_b 4.5733
_cell_length_c 8.0792
_cell_angle_alpha 73.56
_cell_angle_beta 73.56
_cell_angle_gamma 90.00
loop_
_space_group_symop_operation_xyz
'x,y,z'
loop_
_atom_site_label
_atom_site_fract_x
_atom_site_fract_y
_atom_site_fract_z
Hg1 0.4032 0.4032 0.1937
Hg2 0.5968 0.5968 0.8063
Tl1 0.2500 0.7500 0.5000
Tl2 0.7500 0.2500 0.5000
In1 0.0000 0.0000 0.0000
```

The density comes out at 9917 kg/m3. The value obtained for the density of states at the Fermi level is 0.5534 states/eV/atom. The total magnetization comes out at 0.000 μB/f.u.



Which of them is most stable, and which least? Most stable: w; least stable: x.



## w
Entry from Alexandria: a relaxed Tl2InHg2 crystal (PBE).

The structure in CIF format:
```
data_Tl2InHg2
_space_group_name_H-M_alt 'P 1'
_space_group_IT_number 1
_cell_length_a 8.3208
_cell_length_b 8.3208
_cell_length_c 4.2606
_cell_angle_alpha 90.00
_cell_angle_beta 90.00
_cell_angle_gamma 90.00
loop_
_space_group_symop_operation_xyz
'x,y,z'
loop_
_atom_site_label
_atom_site_fract_x
_atom_site_fract_y
_atom_site_fract_z
Hg1 0.1366 0.3634 0.0000
Hg2 0.8634 0.6366 0.0000
Hg3 0.3634 0.8634 0.0000
Hg4 0.6366 0.1366 0.0000
Tl1 0.6650 0.8350 0.5000
Tl2 0.3350 0.1650 0.5000
Tl3 0.8350 0.3350 0.5000
Tl4 0.1650 0.6650 0.5000
In1 0.0000 0.0000 0.0000
In2 0.5000 0.5000 0.0000
```

The density comes out at 10411 kg/m3. The value obtained for the density of states at the Fermi level is 0.3907 states/eV/atom. The total magnetization comes out at 0.000 μB/f.u.



## x
Entry from Alexandria: a relaxed Tl2InHg2 crystal (PBE).

The structure in CIF format:
```
data_Tl2InHg2
_space_group_name_H-M_alt 'P 1'
_space_group_IT_number 1
_cell_length_a 8.6613
_cell_length_b 8.6613
_cell_length_c 3.9842
_cell_angle_alpha 90.00
_cell_angle_beta 90.00
_cell_angle_gamma 90.00
loop_
_space_group_symop_operation_xyz
'x,y,z'
loop_
_atom_site_label
_atom_site_fract_x
_atom_site_fract_y
_atom_site_fract_z
Tl1 0.3568 0.8568 0.0000
Tl2 0.8568 0.6432 0.0000
Tl3 0.6432 0.1432 0.0000
Tl4 0.1432 0.3568 0.0000
In1 0.0000 0.0000 0.0000
In2 0.5000 0.5000 0.0000
Hg1 0.3420 0.1580 0.5000
Hg2 0.8420 0.3420 0.5000
Hg3 0.1580 0.6580 0.5000
Hg4 0.6580 0.8420 0.5000
```

The density comes out at 10276 kg/m3. The value obtained for the density of states at the Fermi level is 0.3287 states/eV/atom. The total magnetization comes out at 0.000 μB/f.u.



Which of them is most stable, and which least? Most stable: w; least stable: x.



## w
Entry from Alexandria: a relaxed Tl2InHg2 crystal (PBE).

The structure in CIF format:
```
data_Tl2InHg2
_space_group_name_H-M_alt 'P 1'
_space_group_IT_number 1
_cell_length_a 4.2091
_cell_length_b 4.2091
_cell_length_c 9.0947
_cell_angle_alpha 76.62
_cell_angle_beta 76.62
_cell_angle_gamma 90.00
loop_
_space_group_symop_operation_xyz
'x,y,z'
loop_
_atom_site_label
_atom_site_fract_x
_atom_site_fract_y
_atom_site_fract_z
Hg1 0.7500 0.2500 0.5000
Hg2 0.2500 0.7500 0.5000
Tl1 0.5985 0.5985 0.8031
Tl2 0.4015 0.4015 0.1969
In1 0.0000 0.0000 0.0000
```

The density comes out at 10086 kg/m3. The value obtained for the density of states at the Fermi level is 0.5383 states/eV/atom. The total magnetization comes out at 0.000 μB/f.u.



## x
Entry from Alexandria: a relaxed Tl2InHg2 crystal (PBE).

The structure in CIF format:
```
data_Tl2InHg2
_space_group_name_H-M_alt 'P 1'
_space_group_IT_number 1
_cell_length_a 3.6167
_cell_length_b 4.0458
_cell_length_c 10.1285
_cell_angle_alpha 78.48
_cell_angle_beta 90.00
_cell_angle_gamma 90.00
loop_
_space_group_symop_operation_xyz
'x,y,z'
loop_
_atom_site_label
_atom_site_fract_x
_atom_site_fract_y
_atom_site_fract_z
Hg1 0.5000 0.5895 0.8211
Hg2 0.5000 0.4105 0.1789
Tl1 0.0000 0.1827 0.6346
Tl2 0.0000 0.8173 0.3654
In1 0.0000 0.0000 0.0000
```

The density comes out at 10574 kg/m3. The value obtained for the density of states at the Fermi level is 0.5090 states/eV/atom. The total magnetization comes out at 0.000 μB/f.u.



Which of them is most stable, and which least? Most stable: x; least stable: w.